A plane-wave DFT calculation with PBE was carried out for a relaxed Ba2LaSn2 crystal.

Properties
DOS at the Fermi energy = 0.719 states/eV per atom
Calculated volume = 398.38 Å³/cell
ρ = 5.43 g/cm3

Cell: 9.689 9.689 4.243 Å, 90.00 90.00 90.00°
Fractional positions:
Ba: 0.131 0.369 0.000
Ba: 0.369 0.869 0.000
Ba: 0.631 0.131 0.000
Ba: 0.869 0.631 0.000
La: 0.000 0.000 0.500
La: 0.500 0.500 0.500
Sn: 0.173 0.673 0.500
Sn: 0.327 0.173 0.500
Sn: 0.673 0.827 0.500
Sn: 0.827 0.327 0.500

***

A plane-wave DFT calculation with PBE was carried out for a relaxed BaLaSn2 crystal.

Properties
DOS at the Fermi energy = 0.576 states/eV per atom
Calculated volume = 138.90 Å³/cell
ρ = 6.14 g/cm3

Cell: 4.314 4.314 7.463 Å, 90.00 90.00 90.00°
Fractional positions:
Ba: 0.000 0.000 0.000
La: 0.000 0.000 0.500
Sn: 0.500 0.500 0.299
Sn: 0.500 0.500 0.701

***

What did we get for ΔE_f? Answer: -2.27; -2.64 eV/f.u., in the order shown.